# 1
## ZnIr2Au (GGA-PBE)

Data for ZnIr2Au after structural relaxation.

Lattice parameters (Å, degrees): 2.756 4.844 9.348 90.00 90.00 90.00
Space group Cmm2 (No. 35)
Unique sites:
Zn  0.000  0.000  0.000
Ir  0.000  0.000  0.521
Ir  0.000  0.500  0.763
Au  0.000  0.500  0.252

VASP energy   -5.403 eV per atom
D(E_F)   0.949 states/eV per atom
Volume   124.8 Å³ per cell
Calculated formation energy   0.17 eV/atom

---

# 2
## ZnIr2Au (GGA-PBE)

Data for ZnIr2Au after structural relaxation.

Lattice parameters (Å, degrees): 2.811 4.751 9.258 90.00 90.00 90.00
Space group Cmmm (No. 65)
Unique sites:
Zn  0.000  0.000  0.000
Ir  0.000  0.500  0.233
Au  0.000  0.000  0.500

VASP energy   -5.395 eV per atom
D(E_F)   1.341 states/eV per atom
Volume   123.7 Å³ per cell
Calculated formation energy   0.17 eV/atom